Entry 1:
DFT (PBE) results for CoCu3Pd4 after structural relaxation.

## Properties
Formation energy = -0.9 kcal/mol of atoms
DFT total energy = -5.06 eV per atom

The structure in CIF format:
```
data_CoCu3Pd4
_symmetry_space_group_name_H-M 'P 1'
_symmetry_Int_Tables_number 1
_cell_length_a 8.6281
_cell_length_b 5.8760
_cell_length_c 4.3331
_cell_angle_alpha 90.00
_cell_angle_beta 90.00
_cell_angle_gamma 90.00
loop_
_symmetry_equiv_pos_as_xyz
'x,y,z'
loop_
_atom_site_label
_atom_site_type_symbol
_atom_site_fract_x
_atom_site_fract_y
_atom_site_fract_z
_atom_site_occupancy
Co1 Co 0.0000 0.0000 0.0000 1
Co2 Co 0.5000 0.0000 0.0000 1
Cu1 Cu 0.0000 0.5000 0.0000 1
Cu2 Cu 0.2500 0.0000 0.4491 1
Cu3 Cu 0.2500 0.5000 0.4509 1
Cu4 Cu 0.5000 0.5000 0.0000 1
Cu5 Cu 0.7500 0.0000 0.5509 1
Cu6 Cu 0.7500 0.5000 0.5491 1
Pd1 Pd 0.0000 0.2484 0.5000 1
Pd2 Pd 0.0000 0.7516 0.5000 1
Pd3 Pd 0.2500 0.2483 0.9541 1
Pd4 Pd 0.2500 0.7517 0.9541 1
Pd5 Pd 0.5000 0.2484 0.5000 1
Pd6 Pd 0.5000 0.7516 0.5000 1
Pd7 Pd 0.7500 0.2483 0.0459 1
Pd8 Pd 0.7500 0.7517 0.0459 1
```


Entry 2:
DFT (PBE) results for CoCuPd after structural relaxation.

## Properties
Formation energy = 0.3 kcal/mol of atoms
DFT total energy = -5.45 eV per atom

The structure in CIF format:
```
data_CoCuPd
_symmetry_space_group_name_H-M 'P 1'
_symmetry_Int_Tables_number 1
_cell_length_a 2.7057
_cell_length_b 3.4831
_cell_length_c 8.2530
_cell_angle_alpha 90.00
_cell_angle_beta 90.50
_cell_angle_gamma 90.00
loop_
_symmetry_equiv_pos_as_xyz
'x,y,z'
loop_
_atom_site_label
_atom_site_type_symbol
_atom_site_fract_x
_atom_site_fract_y
_atom_site_fract_z
_atom_site_occupancy
Co1 Co 0.2364 0.2500 0.0669 1
Co2 Co 0.7636 0.7500 0.9331 1
Cu1 Cu 0.2489 0.2500 0.4234 1
Cu2 Cu 0.7511 0.7500 0.5766 1
Pd1 Pd 0.2566 0.2500 0.7530 1
Pd2 Pd 0.7434 0.7500 0.2470 1
```


Entry 3:
DFT (PBE) results for CoCu2Pd4 after structural relaxation.

## Properties
Formation energy = 4.0 kcal/mol of atoms
DFT total energy = -4.98 eV per atom

The structure in CIF format:
```
data_CoCu2Pd4
_symmetry_space_group_name_H-M 'P 1'
_symmetry_Int_Tables_number 1
_cell_length_a 6.4605
_cell_length_b 6.4605
_cell_length_c 6.4605
_cell_angle_alpha 109.45
_cell_angle_beta 109.45
_cell_angle_gamma 109.51
loop_
_symmetry_equiv_pos_as_xyz
'x,y,z'
loop_
_atom_site_label
_atom_site_type_symbol
_atom_site_fract_x
_atom_site_fract_y
_atom_site_fract_z
_atom_site_occupancy
Co1 Co 0.0000 0.0000 0.0000 1
Co2 Co 0.7500 0.2500 0.5000 1
Cu1 Cu 0.2531 0.1250 0.6281 1
Cu2 Cu 0.3750 0.7469 0.8719 1
Cu3 Cu 0.4969 0.6250 0.3719 1
Cu4 Cu 0.8750 0.5031 0.1281 1
Pd1 Pd 0.1200 0.3708 0.9074 1
Pd2 Pd 0.1208 0.3700 0.4074 1
Pd3 Pd 0.2866 0.8792 0.2492 1
Pd4 Pd 0.4634 0.2125 0.0926 1
Pd5 Pd 0.6292 0.5366 0.7492 1
Pd6 Pd 0.6300 0.0375 0.7508 1
Pd7 Pd 0.7875 0.8800 0.2508 1
Pd8 Pd 0.9625 0.7134 0.5926 1
```


Entry 4:
DFT (PBE) results for CoCu2Pd2 after structural relaxation.

## Properties
Formation energy = 5.3 kcal/mol of atoms
DFT total energy = -4.91 eV per atom

The structure in CIF format:
```
data_CoCu2Pd2
_symmetry_space_group_name_H-M 'P 1'
_symmetry_Int_Tables_number 1
_cell_length_a 6.9878
_cell_length_b 6.9878
_cell_length_c 2.8818
_cell_angle_alpha 90.00
_cell_angle_beta 90.00
_cell_angle_gamma 90.00
loop_
_symmetry_equiv_pos_as_xyz
'x,y,z'
loop_
_atom_site_label
_atom_site_type_symbol
_atom_site_fract_x
_atom_site_fract_y
_atom_site_fract_z
_atom_site_occupancy
Co1 Co 0.0000 0.0000 0.0000 1
Co2 Co 0.5000 0.5000 0.0000 1
Cu1 Cu 0.1245 0.3755 0.0000 1
Cu2 Cu 0.3755 0.8755 0.0000 1
Cu3 Cu 0.6245 0.1245 0.0000 1
Cu4 Cu 0.8755 0.6245 0.0000 1
Pd1 Pd 0.1738 0.6738 0.5000 1
Pd2 Pd 0.3262 0.1738 0.5000 1
Pd3 Pd 0.6738 0.8262 0.5000 1
Pd4 Pd 0.8262 0.3262 0.5000 1
```


Entry 5:
DFT (PBE) results for Co2Cu2Pd after structural relaxation.

## Properties
Formation energy = 7.8 kcal/mol of atoms
DFT total energy = -5.18 eV per atom

The structure in CIF format:
```
data_Co2Cu2Pd
_symmetry_space_group_name_H-M 'P 1'
_symmetry_Int_Tables_number 1
_cell_length_a 6.4878
_cell_length_b 6.4878
_cell_length_c 6.4878
_cell_angle_alpha 150.36
_cell_angle_beta 150.36
_cell_angle_gamma 42.42
loop_
_symmetry_equiv_pos_as_xyz
'x,y,z'
loop_
_atom_site_label
_atom_site_type_symbol
_atom_site_fract_x
_atom_site_fract_y
_atom_site_fract_z
_atom_site_occupancy
Co1 Co 0.2500 0.7500 0.5000 1
Co2 Co 0.7500 0.2500 0.5000 1
Cu1 Cu 0.1001 0.1001 0.0000 1
Cu2 Cu 0.8999 0.8999 0.0000 1
Pd1 Pd 0.5000 0.5000 0.0000 1
```


Entry 6:
DFT (PBE) results for CoCu2Pd after structural relaxation.

## Properties
Formation energy = 2.1 kcal/mol of atoms
DFT total energy = -5.03 eV per atom

The structure in CIF format:
```
data_CoCu2Pd
_symmetry_space_group_name_H-M 'P 1'
_symmetry_Int_Tables_number 1
_cell_length_a 2.9489
_cell_length_b 2.9489
_cell_length_c 5.8216
_cell_angle_alpha 90.00
_cell_angle_beta 90.00
_cell_angle_gamma 90.00
loop_
_symmetry_equiv_pos_as_xyz
'x,y,z'
loop_
_atom_site_label
_atom_site_type_symbol
_atom_site_fract_x
_atom_site_fract_y
_atom_site_fract_z
_atom_site_occupancy
Co1 Co 0.0000 0.0000 0.0000 1
Cu1 Cu 0.5000 0.5000 0.2284 1
Cu2 Cu 0.5000 0.5000 0.7716 1
Pd1 Pd 0.0000 0.0000 0.5000 1
```


Entry 7:
DFT (PBE) results for Co2Cu2Pd after structural relaxation.

## Properties
Formation energy = 5.7 kcal/mol of atoms
DFT total energy = -5.27 eV per atom

The structure in CIF format:
```
data_Co2Cu2Pd
_symmetry_space_group_name_H-M 'P 1'
_symmetry_Int_Tables_number 1
_cell_length_a 6.9013
_cell_length_b 6.9013
_cell_length_c 2.6698
_cell_angle_alpha 90.00
_cell_angle_beta 90.00
_cell_angle_gamma 90.00
loop_
_symmetry_equiv_pos_as_xyz
'x,y,z'
loop_
_atom_site_label
_atom_site_type_symbol
_atom_site_fract_x
_atom_site_fract_y
_atom_site_fract_z
_atom_site_occupancy
Co1 Co 0.1149 0.3851 0.0000 1
Co2 Co 0.3851 0.8851 0.0000 1
Co3 Co 0.6149 0.1149 0.0000 1
Co4 Co 0.8851 0.6149 0.0000 1
Cu1 Cu 0.1797 0.6797 0.5000 1
Cu2 Cu 0.3203 0.1797 0.5000 1
Cu3 Cu 0.6797 0.8203 0.5000 1
Cu4 Cu 0.8203 0.3203 0.5000 1
Pd1 Pd 0.0000 0.0000 0.0000 1
Pd2 Pd 0.5000 0.5000 0.0000 1
```


Entry 8:
DFT (PBE) results for CoCu2Pd7 after structural relaxation.

## Properties
Formation energy = 12.2 kcal/mol of atoms
DFT total energy = -4.63 eV per atom

The structure in CIF format:
```
data_CoCu2Pd7
_symmetry_space_group_name_H-M 'P 1'
_symmetry_Int_Tables_number 1
_cell_length_a 7.2569
_cell_length_b 7.2569
_cell_length_c 4.0618
_cell_angle_alpha 90.00
_cell_angle_beta 90.00
_cell_angle_gamma 120.25
loop_
_symmetry_equiv_pos_as_xyz
'x,y,z'
loop_
_atom_site_label
_atom_site_type_symbol
_atom_site_fract_x
_atom_site_fract_y
_atom_site_fract_z
_atom_site_occupancy
Co1 Co 0.0000 0.0000 0.0000 1
Cu1 Cu 0.3040 0.6960 0.5000 1
Cu2 Cu 0.6960 0.3040 0.5000 1
Pd1 Pd 0.0781 0.2933 0.5000 1
Pd2 Pd 0.1995 0.8005 0.0000 1
Pd3 Pd 0.2933 0.0781 0.5000 1
Pd4 Pd 0.5000 0.5000 0.5000 1
Pd5 Pd 0.7067 0.9219 0.5000 1
Pd6 Pd 0.8005 0.1995 0.0000 1
Pd7 Pd 0.9219 0.7067 0.5000 1
```


Entry 9:
DFT (PBE) results for CoCuPd5 after structural relaxation.

## Properties
Formation energy = 11.7 kcal/mol of atoms
DFT total energy = -4.80 eV per atom

The structure in CIF format:
```
data_CoCuPd5
_symmetry_space_group_name_H-M 'P 1'
_symmetry_Int_Tables_number 1
_cell_length_a 5.4800
_cell_length_b 5.4800
_cell_length_c 5.4800
_cell_angle_alpha 124.71
_cell_angle_beta 102.76
_cell_angle_gamma 102.10
loop_
_symmetry_equiv_pos_as_xyz
'x,y,z'
loop_
_atom_site_label
_atom_site_type_symbol
_atom_site_fract_x
_atom_site_fract_y
_atom_site_fract_z
_atom_site_occupancy
Co1 Co 0.0000 0.0000 0.0000 1
Cu1 Cu 0.9955 0.4955 0.5000 1
Pd1 Pd 0.1353 0.3217 0.8136 1
Pd2 Pd 0.3375 0.8375 0.5000 1
Pd3 Pd 0.5081 0.3217 0.1864 1
Pd4 Pd 0.6709 0.4276 0.7567 1
Pd5 Pd 0.6709 0.9142 0.2433 1
```


Entry 10:
DFT (PBE) results for CoCu6Pd12 after structural relaxation.

## Properties
Formation energy = 0.3 kcal/mol of atoms
DFT total energy = -4.93 eV per atom

The structure in CIF format:
```
data_CoCu6Pd12
_symmetry_space_group_name_H-M 'P 1'
_symmetry_Int_Tables_number 1
_cell_length_a 6.5104
_cell_length_b 6.5104
_cell_length_c 6.5104
_cell_angle_alpha 88.97
_cell_angle_beta 88.97
_cell_angle_gamma 88.97
loop_
_symmetry_equiv_pos_as_xyz
'x,y,z'
loop_
_atom_site_label
_atom_site_type_symbol
_atom_site_fract_x
_atom_site_fract_y
_atom_site_fract_z
_atom_site_occupancy
Co1 Co 0.0000 0.0000 0.0000 1
Cu1 Cu 0.1112 0.7341 0.2637 1
Cu2 Cu 0.2637 0.1112 0.7341 1
Cu3 Cu 0.2659 0.7363 0.8888 1
Cu4 Cu 0.7341 0.2637 0.1112 1
Cu5 Cu 0.7363 0.8888 0.2659 1
Cu6 Cu 0.8888 0.2659 0.7363 1
Pd1 Pd 0.0244 0.1522 0.3669 1
Pd2 Pd 0.1522 0.3669 0.0244 1
Pd3 Pd 0.1975 0.4706 0.5618 1
Pd4 Pd 0.3669 0.0244 0.1522 1
Pd5 Pd 0.4382 0.8025 0.5294 1
Pd6 Pd 0.4706 0.5618 0.1975 1
Pd7 Pd 0.5294 0.4382 0.8025 1
Pd8 Pd 0.5618 0.1975 0.4706 1
Pd9 Pd 0.6331 0.9756 0.8478 1
Pd10 Pd 0.8025 0.5294 0.4382 1
Pd11 Pd 0.8478 0.6331 0.9756 1
Pd12 Pd 0.9756 0.8478 0.6331 1
```